No. 1
A geometry-optimized La2Nd5Sm4 structure. Source: the Alexandria database, functional PBE.

a b c (Å): 12.3807 12.3807 9.0203
angles (deg): 96.33 96.33 16.39
Last column: nearest neighbours and their distance in Å.
Element x y z (fractional)
La  0.2306  0.2306  0.3234  4 Nd 3.44-3.64, 4 La 3.53-3.67, 3 Sm 3.67-3.76
La  0.7694  0.7694  0.6766  4 Nd 3.44-3.64, 4 La 3.53-3.67, 3 Sm 3.67-3.76
Nd  0.0906  0.0906  0.2309  2 Sm 3.37-3.38, 1 La 3.44, 3 Nd 3.53-3.54
Nd  0.1397  0.1397  0.6156  3 Sm 3.37-3.67, 3 Nd 3.53-3.54, 3 La 3.62-3.64
Nd  0.5000  0.5000  0.5000  10 Nd 3.53-3.89, 4 Sm 3.78
Nd  0.8603  0.8603  0.3844  3 Sm 3.37-3.67, 3 Nd 3.53-3.54, 3 La 3.62-3.64
Nd  0.9094  0.9094  0.7691  2 Sm 3.37-3.38, 1 La 3.44, 3 Nd 3.53-3.54
Sm  0.0462  0.0462  0.8624  3 Nd 3.37-3.38, 5 Sm 3.53-3.69
Sm  0.3231  0.3231  0.0307  4 Sm 3.53-3.69, 3 La 3.67-3.76, 4 Nd 3.67-3.78
Sm  0.6769  0.6769  0.9693  4 Sm 3.53-3.69, 3 La 3.67-3.76, 4 Nd 3.67-3.78
Sm  0.9538  0.9538  0.1376  3 Nd 3.37-3.38, 5 Sm 3.53-3.69

Computed properties:
symmetry	C2/m (12)
magnetic moment	0.00	μB/cell
theoretical density	6.86	g cm⁻³
E_tot	-51.15	eV per formula unit
relative energy among the computed polymorphs	0.000	eV/atom


No. 2
A geometry-optimized La4NdSm7 structure. Source: the Alexandria database, functional PBE.

a b c (Å): 6.8493 6.8493 13.0994
angles (deg): 114.43 114.43 52.96
Last column: nearest neighbours and their distance in Å.
Element x y z (fractional)
La  0.0581  0.0581  0.3298  5 Sm 3.37-3.71, 2 La 3.75
La  0.3589  0.3589  0.2229  7 Sm 3.48-3.76, 2 La 3.75
La  0.6411  0.6411  0.7771  7 Sm 3.48-3.76, 2 La 3.75
La  0.9419  0.9419  0.6702  5 Sm 3.37-3.71, 2 La 3.75
Nd  0.5000  0.5000  0.0000  4 Sm 3.05-3.19
Sm  0.0000  0.0000  0.0000  2 Nd 3.05, 2 Sm 3.19
Sm  0.2120  0.2120  0.9230  1 Nd 3.19, 4 Sm 3.19-3.54, 4 La 3.43-3.49
Sm  0.2505  0.2505  0.6830  4 Sm 3.33-3.72, 1 La 3.71
Sm  0.3652  0.3652  0.4973  2 Sm 3.27-3.33, 5 La 3.37-3.66
Sm  0.6348  0.6348  0.5027  2 Sm 3.27-3.33, 5 La 3.37-3.66
Sm  0.7495  0.7495  0.3170  4 Sm 3.33-3.72, 1 La 3.71
Sm  0.7880  0.7880  0.0770  1 Nd 3.19, 4 Sm 3.19-3.54, 4 La 3.43-3.49

Computed properties:
symmetry	C2/m (12)
magnetic moment	0.00	μB/cell
theoretical density	6.69	g cm⁻³
E_tot	-54.84	eV per formula unit
relative energy among the computed polymorphs	0.208	eV/atom


No. 3
A geometry-optimized La5Nd2Sm4 structure. Source: the Alexandria database, functional PBE.

a b c (Å): 9.2873 9.2873 11.9251
angles (deg): 93.83 93.83 22.41
Last column: nearest neighbours and their distance in Å.
Element x y z (fractional)
La  0.0000  0.0000  0.0000  6 La 3.61-3.74, 6 Sm 3.62
La  0.3234  0.3234  0.9255  4 Sm 3.54-3.75, 6 La 3.61-3.77, 2 Nd 3.83
La  0.4051  0.4051  0.4643  4 Sm 3.38-3.68, 3 La 3.51-3.61, 3 Nd 3.60-3.67
La  0.5949  0.5949  0.5357  4 Sm 3.38-3.68, 3 La 3.51-3.61, 3 Nd 3.60-3.67
La  0.6766  0.6766  0.0745  4 Sm 3.54-3.75, 6 La 3.61-3.77, 2 Nd 3.83
Nd  0.2163  0.2163  0.3549  5 La 3.60-3.83, 4 Nd 3.61-4.02, 4 Sm 3.76-3.87
Nd  0.7837  0.7837  0.6451  5 La 3.60-3.83, 4 Nd 3.61-4.02, 4 Sm 3.76-3.87
Sm  0.1408  0.1408  0.8003  6 La 3.55-3.75, 4 Sm 3.61-3.69, 2 Nd 3.76
Sm  0.4658  0.4658  0.7382  5 La 3.38-3.62, 4 Sm 3.61-3.69
Sm  0.5342  0.5342  0.2618  5 La 3.38-3.62, 4 Sm 3.61-3.69
Sm  0.8592  0.8592  0.1997  6 La 3.55-3.75, 4 Sm 3.61-3.69, 2 Nd 3.76

Computed properties:
symmetry	C2/m (12)
magnetic moment	0.00	μB/cell
theoretical density	6.72	g cm⁻³
E_tot	-52.31	eV per formula unit
relative energy among the computed polymorphs	0.000	eV/atom


No. 4
A geometry-optimized LaNd6Sm6 structure. Source: the Alexandria database, functional PBE.

a b c (Å): 6.7759 6.7759 11.6919
angles (deg): 90.00 90.00 120.00
Last column: nearest neighbours and their distance in Å.
Element x y z (fractional)
La  0.0000  0.0000  0.0000  8 Nd 3.91-4.13
Nd  0.0000  0.0000  0.3536  1 Nd 3.42, 6 Sm 3.60
Nd  0.0000  0.0000  0.6464  1 Nd 3.42, 6 Sm 3.60
Nd  0.3333  0.6667  0.0000  6 Sm 3.52, 3 La 3.91, 3 Nd 3.91
Nd  0.3333  0.6667  0.5000  6 Sm 3.51, 3 Nd 3.91
Nd  0.6667  0.3333  0.0000  6 Sm 3.52, 3 La 3.91, 3 Nd 3.91
Nd  0.6667  0.3333  0.5000  6 Sm 3.51, 3 Nd 3.91
Sm  0.0000  0.5000  0.2505  4 Sm 3.39, 6 Nd 3.51-3.60
Sm  0.0000  0.5000  0.7495  4 Sm 3.39, 6 Nd 3.51-3.60
Sm  0.5000  0.0000  0.2505  4 Sm 3.39, 6 Nd 3.51-3.60
Sm  0.5000  0.0000  0.7495  4 Sm 3.39, 6 Nd 3.51-3.60
Sm  0.5000  0.5000  0.2505  4 Sm 3.39, 6 Nd 3.51-3.60
Sm  0.5000  0.5000  0.7495  4 Sm 3.39, 6 Nd 3.51-3.60

Computed properties:
symmetry	P6/mmm (191)
magnetic moment	0.00	μB/cell
theoretical density	6.81	g cm⁻³
E_tot	-58.73	eV per formula unit


No. 5
A geometry-optimized La2NdSm structure. Source: the Alexandria database, functional PBE.

a b c (Å): 12.2031 12.2031 12.2031
angles (deg): 17.51 17.51 17.51
Last column: nearest neighbours and their distance in Å.
Element x y z (fractional)
La  0.0000  0.0000  0.0000  3 Sm 3.67, 6 La 3.71, 3 Nd 3.76
La  0.1650  0.1650  0.1650  3 Sm 3.66, 3 Nd 3.67, 6 La 3.71
Nd  0.5810  0.5810  0.5810  6 La 3.67-3.76, 6 Nd 3.71
Sm  0.7493  0.7493  0.7493  6 La 3.66-3.67, 6 Sm 3.71

Computed properties:
symmetry	R3m (160)
magnetic moment	0.00	μB/cell
theoretical density	6.62	g cm⁻³
E_tot	-19.28	eV per formula unit
relative energy among the computed polymorphs	0.006	eV/atom


No. 6
A geometry-optimized La5Nd3Sm2 structure. Source: the Alexandria database, functional PBE.

a b c (Å): 9.3346 9.3346 10.3150
angles (deg): 108.84 108.84 106.59
Last column: nearest neighbours and their distance in Å.
Element x y z (fractional)
La  0.0227  0.9773  0.7500  1 La 3.11, 2 Nd 3.46
La  0.1309  0.3774  0.7571  3 Nd 3.50-3.89, 3 La 3.54-3.61, 2 Sm 3.84-3.91
La  0.2305  0.7695  0.7500  1 La 3.11, 2 Sm 3.46
La  0.2758  0.7242  0.2500  1 Nd 3.08
La  0.3774  0.1309  0.2571  3 Nd 3.50-3.89, 3 La 3.54-3.61, 2 Sm 3.84-3.91
La  0.6226  0.8691  0.7429  3 Nd 3.50-3.89, 3 La 3.54-3.61, 2 Sm 3.84-3.91
La  0.7242  0.2758  0.7500  1 Nd 3.08
La  0.7695  0.2305  0.2500  1 La 3.11, 2 Sm 3.46
La  0.8691  0.6226  0.2429  3 Nd 3.50-3.89, 3 La 3.54-3.61, 2 Sm 3.84-3.91
La  0.9773  0.0227  0.2500  1 La 3.11, 2 Nd 3.46
Nd  0.0272  0.2770  0.0566  1 Sm 3.33, 5 La 3.46-3.61, 1 Nd 3.64
Nd  0.2770  0.0272  0.5566  1 Sm 3.33, 5 La 3.46-3.61, 1 Nd 3.64
Nd  0.4819  0.5181  0.2500  1 La 3.08, 2 Sm 3.43
Nd  0.5181  0.4819  0.7500  1 La 3.08, 2 Sm 3.43
Nd  0.7230  0.9728  0.4434  1 Sm 3.33, 5 La 3.46-3.61, 1 Nd 3.64
Nd  0.9728  0.7230  0.9434  1 Sm 3.33, 5 La 3.46-3.61, 1 Nd 3.64
Sm  0.2205  0.4680  0.4402  3 Nd 3.33-3.61, 4 La 3.46-3.61
Sm  0.4680  0.2205  0.9402  3 Nd 3.33-3.61, 4 La 3.46-3.61
Sm  0.5320  0.7795  0.0598  3 Nd 3.33-3.61, 4 La 3.46-3.61
Sm  0.7795  0.5320  0.5598  3 Nd 3.33-3.61, 4 La 3.46-3.61

Computed properties:
symmetry	C2/c (15)
magnetic moment	0.00	μB/cell
theoretical density	6.54	g cm⁻³
E_tot	-46.93	eV per formula unit


No. 7
A geometry-optimized La2NdSm structure. Source: the Alexandria database, functional PBE.

a b c (Å): 7.5470 6.3375 12.5645
angles (deg): 90.00 107.44 90.00
Last column: nearest neighbours and their distance in Å.
Element x y z (fractional)
La  0.0649  0.1650  0.1224  5 La 3.60-3.73, 3 Sm 3.62-3.83, 3 Nd 3.65-3.70
La  0.0649  0.8350  0.6224  5 La 3.60-3.73, 3 Sm 3.62-3.83, 3 Nd 3.65-3.70
La  0.1932  0.3336  0.8769  4 Nd 3.57-3.85, 3 Sm 3.61-3.70, 4 La 3.62-3.73
La  0.1932  0.6664  0.3769  4 Nd 3.57-3.85, 3 Sm 3.61-3.70, 4 La 3.62-3.73
La  0.8068  0.3336  0.6231  4 Nd 3.57-3.85, 3 Sm 3.61-3.70, 4 La 3.62-3.73
La  0.8068  0.6664  0.1231  4 Nd 3.57-3.85, 3 Sm 3.61-3.70, 4 La 3.62-3.73
La  0.9351  0.1650  0.3776  5 La 3.60-3.73, 3 Sm 3.62-3.83, 3 Nd 3.65-3.70
La  0.9351  0.8350  0.8776  5 La 3.60-3.73, 3 Sm 3.62-3.83, 3 Nd 3.65-3.70
Nd  0.3146  0.3359  0.6184  7 La 3.57-3.85, 3 Sm 3.59-3.66, 1 Nd 3.64
Nd  0.3146  0.6641  0.1184  7 La 3.57-3.85, 3 Sm 3.59-3.66, 1 Nd 3.64
Nd  0.6854  0.3359  0.8816  7 La 3.57-3.85, 3 Sm 3.59-3.66, 1 Nd 3.64
Nd  0.6854  0.6641  0.3816  7 La 3.57-3.85, 3 Sm 3.59-3.66, 1 Nd 3.64
Sm  0.4437  0.1636  0.3796  2 Sm 3.55-3.60, 3 Nd 3.59-3.66, 6 La 3.61-3.83
Sm  0.4437  0.8364  0.8796  2 Sm 3.55-3.60, 3 Nd 3.59-3.66, 6 La 3.61-3.83
Sm  0.5563  0.1636  0.1204  2 Sm 3.55-3.60, 3 Nd 3.59-3.66, 6 La 3.61-3.83
Sm  0.5563  0.8364  0.6204  2 Sm 3.55-3.60, 3 Nd 3.59-3.66, 6 La 3.61-3.83

Computed properties:
symmetry	P2/c (13)
magnetic moment	0.00	μB/cell
theoretical density	6.63	g cm⁻³
E_tot	-19.19	eV per formula unit
relative energy among the computed polymorphs	0.027	eV/atom


No. 8
A geometry-optimized La4Nd3Sm2 structure. Source: the Alexandria database, functional PBE.

a b c (Å): 6.3879 6.3978 9.7717
angles (deg): 71.16 71.27 60.14
Last column: nearest neighbours and their distance in Å.
Element x y z (fractional)
La  0.1648  0.1684  0.0003  5 La 3.68-3.71, 5 Nd 3.68-3.72, 2 Sm 3.69-3.72
La  0.2778  0.6113  0.6654  4 Sm 3.67-3.70, 5 Nd 3.68-3.70, 3 La 3.69-3.71
La  0.7222  0.3887  0.3346  4 Sm 3.67-3.70, 5 Nd 3.68-3.70, 3 La 3.69-3.71
La  0.8352  0.8316  0.9997  5 La 3.68-3.71, 5 Nd 3.68-3.72, 2 Sm 3.69-3.72
Nd  0.3896  0.0559  0.3338  2 Nd 3.67-3.71, 6 La 3.68-3.72, 4 Sm 3.69-3.70
Nd  0.5000  0.5000  0.0000  8 La 3.68-3.71, 2 Nd 3.71, 2 Sm 3.71
Nd  0.6104  0.9441  0.6662  2 Nd 3.67-3.71, 6 La 3.68-3.72, 4 Sm 3.69-3.70
Sm  0.0549  0.7209  0.3347  6 La 3.67-3.72, 1 Sm 3.68, 5 Nd 3.69-3.71
Sm  0.9451  0.2791  0.6653  6 La 3.67-3.72, 1 Sm 3.68, 5 Nd 3.69-3.71

Computed properties:
symmetry	P-1 (2)
magnetic moment	0.00	μB/cell
theoretical density	6.66	g cm⁻³
E_tot	-43.30	eV per formula unit


No. 9
A geometry-optimized LaNd2Sm2 structure. Source: the Alexandria database, functional PBE.

a b c (Å): 6.4061 6.4061 9.4754
angles (deg): 107.08 107.08 78.80
Last column: nearest neighbours and their distance in Å.
Element x y z (fractional)
La  0.2203  0.7797  0.7500  2 Sm 3.52, 6 Nd 3.52-3.66
La  0.7797  0.2203  0.2500  2 Sm 3.52, 6 Nd 3.52-3.66
Nd  0.0532  0.7155  0.3520  5 Sm 3.37-3.70, 1 Nd 3.51, 3 La 3.52-3.66
Nd  0.2845  0.9468  0.1480  5 Sm 3.37-3.70, 1 Nd 3.51, 3 La 3.52-3.66
Nd  0.7155  0.0532  0.8520  5 Sm 3.37-3.70, 1 Nd 3.51, 3 La 3.52-3.66
Nd  0.9468  0.2845  0.6480  5 Sm 3.37-3.70, 1 Nd 3.51, 3 La 3.52-3.66
Sm  0.2723  0.3979  0.0227  5 Nd 3.37-3.70, 2 Sm 3.43-3.60, 1 La 3.52
Sm  0.3979  0.2723  0.5227  5 Nd 3.37-3.70, 2 Sm 3.43-3.60, 1 La 3.52
Sm  0.6021  0.7277  0.4773  5 Nd 3.37-3.70, 2 Sm 3.43-3.60, 1 La 3.52
Sm  0.7277  0.6021  0.9773  5 Nd 3.37-3.70, 2 Sm 3.43-3.60, 1 La 3.52

Computed properties:
symmetry	C2/c (15)
magnetic moment	0.00	μB/cell
theoretical density	6.85	g cm⁻³
E_tot	-23.31	eV per formula unit
relative energy among the computed polymorphs	0.028	eV/atom


No. 10
A geometry-optimized La8Nd3Sm2 structure. Source: the Alexandria database, functional PBE.

a b c (Å): 9.0763 9.0763 6.3048
angles (deg): 107.79 107.79 81.77
Last column: nearest neighbours and their distance in Å.
Element x y z (fractional)
La  0.0442  0.0442  0.2850  2 Sm 3.15-3.38, 4 La 3.30-3.51, 2 Nd 3.45
La  0.0626  0.5962  0.8357  2 Sm 3.50-3.80, 4 La 3.51-3.92, 3 Nd 3.74-3.89
La  0.3617  0.3617  0.4248  3 Nd 3.34-3.42, 3 La 3.52-3.71, 2 Sm 3.62-3.67
La  0.4038  0.9374  0.1643  2 Sm 3.50-3.80, 4 La 3.51-3.92, 3 Nd 3.74-3.89
La  0.5962  0.0626  0.8357  2 Sm 3.50-3.80, 4 La 3.51-3.92, 3 Nd 3.74-3.89
La  0.6383  0.6383  0.5752  3 Nd 3.34-3.42, 3 La 3.52-3.71, 2 Sm 3.62-3.67
La  0.9374  0.4038  0.1643  2 Sm 3.50-3.80, 4 La 3.51-3.92, 3 Nd 3.74-3.89
La  0.9558  0.9558  0.7150  2 Sm 3.15-3.38, 4 La 3.30-3.51, 2 Nd 3.45
Nd  0.2529  0.7471  0.5000  6 La 3.42-3.74
Nd  0.5000  0.5000  0.0000  2 La 3.34, 2 Sm 3.59
Nd  0.7471  0.2529  0.5000  6 La 3.42-3.74
Sm  0.2152  0.2152  0.8007  4 La 3.15-3.50
Sm  0.7848  0.7848  0.1993  4 La 3.15-3.50

Computed properties:
symmetry	C2/m (12)
magnetic moment	0.00	μB/cell
theoretical density	6.52	g cm⁻³
E_tot	-61.40	eV per formula unit


no.,formation enthalpy at 0 K (eV per formula unit),DOS at the Fermi energy (states/eV per atom)
1,1.424,1.71
2,2.676,1.71
3,0.736,1.56
4,3.122,1.95
5,0.064,1.70
6,1.454,1.76
7,0.148,1.48
8,0.154,1.83
9,0.589,1.40
10,1.765,1.60